[1]
A relaxed Y3Ho4 crystal. Source: Alexandria via LeMat-Bulk, functional GGA-PBE.

Cell and atoms, written as extended XYZ:
```
7
Lattice="-3.030 4.245 -2.725 0.027 -4.858 -7.597 -2.098 -2.807 4.314" Properties=species:S:1:pos:R:3 pbc="T T T"
Y 0.000 0.000 0.000
Y -2.012 -1.448 -6.372
Y -3.089 -1.972 0.364
Ho -4.079 -1.134 -3.585
Ho -1.022 -2.286 -2.424
Ho -3.062 1.131 -1.187
Ho -2.039 -4.551 -4.822
```

Results
The value obtained for the formation energy from the elements is 127 meV/atom. The calculation puts the distance to the lowest polymorph of the same formula at 0.000 eV per formula unit. The space group is No. 12. Its crystal system is monoclinic. For the calculated volume, the calculation gives 31.89 Å³ per atom. The density of states at the Fermi level comes out at 16.67 states/eV/f.u.


[2]
A relaxed Y2NbBN crystal. Source: Alexandria via LeMat-Bulk, functional GGA-PBE.

Cell and atoms, written as extended XYZ:
```
5
Lattice="5.503 0.000 0.000 0.000 3.933 0.000 0.000 0.000 5.503" Properties=species:S:1:pos:R:3 pbc="T T T"
Y 0.000 0.000 2.752
Y 2.752 0.000 0.000
Nb 0.000 0.000 0.000
B 2.752 1.967 2.752
N 0.000 1.967 0.000
```

Results
The space group is No. 123. Its crystal system is tetragonal. The value obtained for the formation energy from raw total energies is 1072 meV per atom. For the calculated volume, the calculation gives 23.82 Å³ per atom. The density of states at the Fermi level comes out at 5.85 states/eV/f.u.


[3]
A relaxed AcSiB crystal. Source: Alexandria via LeMat-Bulk, functional GGA-PBE.

Cell and atoms, written as extended XYZ:
```
3
Lattice="4.847 0.000 0.000 0.000 3.672 0.000 0.000 -1.836 3.180" Properties=species:S:1:pos:R:3 pbc="T T T"
Ac 3.231 0.000 2.120
B 0.809 1.836 1.060
Si 0.807 0.000 0.000
```

Results
The calculation puts the distance to the lowest polymorph of the same formula at 0.000 eV per formula unit. The space group is No. 187. Its crystal system is hexagonal. The value obtained for the formation energy from raw total energies is -381 meV per atom. For the calculated volume, the calculation gives 18.87 Å³ per atom. The density of states at the Fermi level comes out at 0.71 states/eV/f.u.


[4]
A relaxed Ca2Al3Zn4 crystal. Source: Alexandria via LeMat-Bulk, functional GGA-PBE.

Cell and atoms, written as extended XYZ:
```
18
Lattice="5.765 0.000 0.000 0.000 7.691 0.000 -2.882 0.000 7.939" Properties=species:S:1:pos:R:3 pbc="T T T"
Ca 0.000 4.640 1.625
Ca 2.882 3.050 6.314
Ca 0.000 0.795 6.314
Ca 2.882 6.896 1.625
Al 0.000 0.000 0.000
Al 2.882 3.845 0.000
Al 1.441 5.768 4.220
Al 4.324 1.923 3.718
Al 1.441 1.923 3.718
Al -1.441 5.768 4.220
Zn 1.441 5.768 6.843
Zn 4.324 1.923 1.096
Zn 1.441 1.923 1.096
Zn -1.441 5.768 6.843
Zn 0.000 7.594 2.727
Zn 2.882 0.096 5.212
Zn 0.000 3.749 5.212
Zn 2.882 3.941 2.727
```

Results
The value obtained for the formation energy from the elements is -219 meV/atom. The space group is No. 64. Its crystal system is orthorhombic. For the calculated volume, the calculation gives 19.55 Å³ per atom. The density of states at the Fermi level comes out at 3.60 states/eV/f.u.


[5]
A relaxed Sr2H2PtO6 crystal. Source: Alexandria via LeMat-Bulk, functional GGA-PBE.

Cell and atoms, written as extended XYZ:
```
11
Lattice="5.219 0.000 0.000 2.609 4.520 0.000 2.609 1.507 5.145" Properties=species:S:1:pos:R:3 pbc="T T T"
Sr 7.828 4.520 3.528
Sr 2.609 1.507 1.617
H 5.219 3.013 4.036
H 5.219 3.013 1.109
Pt 0.000 0.000 0.000
O 6.466 3.733 1.220
O 3.972 3.733 1.220
O 5.219 1.573 1.220
O 5.219 4.453 3.925
O 6.466 2.293 3.925
O 3.972 2.293 3.925
```

Results
The space group is No. 166. The energy comes out at -5.412 eV/atom. Its crystal system is trigonal. For the calculated volume, the calculation gives 11.03 Å³ per atom. The density of states at the Fermi level comes out at 7.27 states/eV/f.u.


[6]
A relaxed BePAu crystal. Source: Alexandria via LeMat-Bulk, functional GGA-PBE.

Cell and atoms, written as extended XYZ:
```
12
Lattice="-1.874 0.415 7.156 -4.192 -1.435 -1.015 1.952 -6.324 0.878" Properties=species:S:1:pos:R:3 pbc="T T T"
P -0.777 -2.782 2.054
P -1.810 -6.681 1.653
P -3.337 -4.561 4.966
P -2.304 -0.663 5.366
Au -0.917 -4.713 5.363
Au -4.196 -2.223 5.206
Au -3.197 -2.631 1.656
Au 0.082 -5.121 1.813
Be 0.000 0.000 0.000
Be -2.057 -3.672 3.510
Be 0.039 -2.954 4.017
Be -2.096 -0.717 -0.507
```

Results
The value obtained for the formation energy from the elements is 16 meV/atom. The space group is No. 62. Its crystal system is orthorhombic. For the calculated volume, the calculation gives 18.74 Å³ per atom. The density of states at the Fermi level comes out at 0.23 states/eV/f.u.


[7]
A relaxed CsRbSnI4 crystal. Source: Alexandria via LeMat-Bulk, functional GGA-PBE.

Cell and atoms, written as extended XYZ:
```
7
Lattice="-1.066 5.640 -2.443 -0.203 -2.511 -5.707 -8.764 -2.936 5.012" Properties=species:S:1:pos:R:3 pbc="T T T"
Cs -3.239 1.185 -3.816
Rb -6.811 -0.994 0.679
Sn -0.009 -0.001 0.001
I -9.871 1.458 -0.291
I -9.440 -2.618 -1.923
I -6.950 0.643 -3.446
I -3.178 -0.464 0.317
```

Results
The space group is No. 107. Its crystal system is tetragonal. The value obtained for the formation energy from raw total energies is -1079 meV per atom. For the calculated volume, the calculation gives 53.06 Å³ per atom.


[8]
A relaxed Th2BeSiIr6 crystal. Source: Alexandria via LeMat-Bulk, functional GGA-PBE.

Cell and atoms, written as extended XYZ:
```
10
Lattice="-0.619 5.883 2.112 -5.785 0.265 -2.433 -4.876 1.529 3.652" Properties=species:S:1:pos:R:3 pbc="T T T"
Th -6.932 2.433 0.529
Th -4.349 5.243 2.802
Be -3.202 3.074 -0.160
Si 0.000 0.000 0.000
Ir -4.454 1.712 -1.262
Ir -4.754 4.563 -0.238
Ir -4.013 2.325 1.687
Ir -1.950 4.435 0.941
Ir -1.650 1.584 -0.083
Ir -7.267 5.351 1.644
```

Results
The space group is No. 225. Its crystal system is cubic. The value obtained for the formation energy from raw total energies is -538 meV per atom. For the calculated volume, the calculation gives 17.52 Å³ per atom. The density of states at the Fermi level comes out at 1.32 states/eV/f.u.


[9]
A relaxed Ca2MgCdO crystal. Source: Alexandria via LeMat-Bulk, functional GGA-PBE.

Cell and atoms, written as extended XYZ:
```
5
Lattice="-3.890 -2.966 0.674 1.214 -2.518 -4.071 2.468 -2.691 2.401" Properties=species:S:1:pos:R:3 pbc="T T T"
Ca 0.607 -1.259 -2.036
Ca -1.945 -1.483 0.337
Mg 1.234 -1.346 1.200
O 0.000 0.000 0.000
Cd -0.104 -4.088 -0.498
```

Results
The space group is No. 123. Its crystal system is tetragonal. The value obtained for the formation energy from raw total energies is -1178 meV per atom. For the calculated volume, the calculation gives 21.32 Å³ per atom. The density of states at the Fermi level comes out at 2.75 states/eV/f.u.


[10]
A relaxed TaCuTe crystal. Source: Alexandria via LeMat-Bulk, functional GGA-PBE.

Cell and atoms, written as extended XYZ:
```
3
Lattice="4.523 0.000 0.000 2.262 3.917 0.000 2.262 1.306 3.693" Properties=species:S:1:pos:R:3 pbc="T T T"
Cu 4.523 2.612 1.847
Ta 6.785 3.917 2.770
Te 0.000 0.000 0.000
```

Results
The calculation puts the distance to the lowest polymorph of the same formula at 1.115 eV per formula unit. The space group is No. 216. Its crystal system is cubic. The value obtained for the formation energy from raw total energies is 579 meV per atom. For the calculated volume, the calculation gives 21.82 Å³ per atom. The density of states at the Fermi level comes out at 4.18 states/eV/f.u.


[11]
A relaxed RbTlSe2N crystal. Source: Alexandria via LeMat-Bulk, functional GGA-PBE.

Cell and atoms, written as extended XYZ:
```
5
Lattice="6.282 0.000 0.000 0.000 6.282 0.000 0.000 0.000 5.436" Properties=species:S:1:pos:R:3 pbc="T T T"
Tl 3.141 3.141 2.718
Se 0.000 3.141 0.000
Se 3.141 0.000 0.000
Rb 0.000 0.000 0.000
N 0.000 0.000 2.718
```

Results
The calculation puts the distance to the lowest polymorph of the same formula at 3.092 eV per formula unit. The space group is No. 123. Its crystal system is tetragonal. The value obtained for the formation energy from raw total energies is 1164 meV per atom. For the calculated volume, the calculation gives 42.91 Å³ per atom. The density of states at the Fermi level comes out at 4.84 states/eV/f.u.


[12]
A relaxed NbTl2Zn crystal. Source: Alexandria via LeMat-Bulk, functional GGA-PBE.

Cell and atoms, written as extended XYZ:
```
8
Lattice="7.681 0.000 0.000 0.000 7.681 0.000 3.841 3.841 2.990" Properties=species:S:1:pos:R:3 pbc="T T T"
Zn 3.841 3.841 0.000
Zn 3.841 7.681 1.495
Tl 5.585 1.920 0.747
Tl 2.096 5.761 0.747
Tl 5.761 5.936 2.242
Tl 9.601 9.426 2.242
Nb 0.000 0.000 0.000
Nb 7.681 3.841 1.495
```

Results
The value obtained for the formation energy from the elements is 593 meV/atom. The calculation puts the distance to the lowest polymorph of the same formula at 0.000 eV per formula unit. The space group is No. 122. Its crystal system is tetragonal. For the calculated volume, the calculation gives 22.05 Å³ per atom. The density of states at the Fermi level comes out at 4.60 states/eV/f.u.


Please write out number 3 again, unchanged.
A relaxed AcSiB crystal. Source: Alexandria via LeMat-Bulk, functional GGA-PBE.

Cell and atoms, written as extended XYZ:
```
3
Lattice="4.847 0.000 0.000 0.000 3.672 0.000 0.000 -1.836 3.180" Properties=species:S:1:pos:R:3 pbc="T T T"
Ac 3.231 0.000 2.120
B 0.809 1.836 1.060
Si 0.807 0.000 0.000
```

Results
The calculation puts the distance to the lowest polymorph of the same formula at 0.000 eV per formula unit. The space group is No. 187. Its crystal system is hexagonal. The value obtained for the formation energy from raw total energies is -381 meV per atom. For the calculated volume, the calculation gives 18.87 Å³ per atom. The density of states at the Fermi level comes out at 0.71 states/eV/f.u.


> What is the calculated volume in the fourth record?

19.55 Å³ per atom


> What is the calculated volume in the ninth record?

21.32 Å³ per atom